The following is a PBE-GGA calculation of crystalline TlCuOsCl6 at its relaxed geometry, from the Alexandria database.

Results
Its total energy is -33.7 eV per cell. The uncorrected formation energy comes out at -4.95 eV/f.u. As for the space group: P312, No. 149.

Lattice parameters (Å, degrees): 6.3942 6.3942 7.1022 90.00 90.00 120.00
Closest atoms and distances in Å follow each position.
Atoms (fractional coordinates):
Tl: 0.0000 0.0000 0.0000  6 Cl 3.23
Cu: 0.3333 0.6667 0.5000  6 Cl 2.51
Os: 0.6667 0.3333 0.5000  6 Cl 2.36
Cl: 0.3744 0.0180 0.6868  1 Os 2.36, 1 Cu 2.51
Cl: 0.3744 0.3563 0.3132  1 Os 2.36, 1 Cu 2.51
Cl: 0.6437 0.0180 0.3132  1 Os 2.36, 1 Cu 2.51
Cl: 0.6437 0.6256 0.6868  1 Os 2.36, 1 Cu 2.51
Cl: 0.9820 0.3563 0.6868  1 Os 2.36, 1 Cu 2.51
Cl: 0.9820 0.6256 0.3132  1 Os 2.36, 1 Cu 2.51